(1)
Compound: Mg2Mn
Source: Alexandria via LeMat-Bulk
Functional: GGA-PBE
Structure: relaxed

Unit cell a=4.764 b=4.764 c=2.995 alpha=90.00 beta=90.00 gamma=90.00
Space group P4/mmm (No. 123)
One atom of each set of equivalent atoms:
Mg1 0.000 0.500 0.000
Mn1 0.000 0.000 0.500

Output
* E_form: 0.3849 eV/atom

(2)
Compound: MgMn3
Source: Alexandria via LeMat-Bulk
Functional: GGA-PBE
Structure: relaxed

Unit cell a=3.856 b=3.856 c=7.758 alpha=90.00 beta=90.00 gamma=90.00
Space group I4/mmm (No. 139)
One atom of each set of equivalent atoms:
Mg1 0.000 0.000 0.000
Mn1 0.000 0.000 0.500
Mn2 0.000 0.500 0.250

Output
* E_form: 0.4491 eV/atom

(3)
Compound: MgMn
Source: Alexandria via LeMat-Bulk
Functional: GGA-PBE
Structure: relaxed

Unit cell a=5.119 b=4.700 c=5.759 alpha=90.00 beta=90.00 gamma=90.00
Space group Pnma (No. 62)
One atom of each set of equivalent atoms:
Mg1 0.101 0.250 0.125
Mn1 0.087 0.250 0.628

Output
* E_form: 0.3399 eV/atom

(4)
Compound: MgMn
Source: Alexandria via LeMat-Bulk
Functional: GGA-PBE
Structure: relaxed

Unit cell a=2.8910 b=2.8910 c=10.2028 alpha=90.00 beta=90.00 gamma=120.00
Space group P6_3mc (No. 186)
One atom of each set of equivalent atoms:
Mg1 0.3333 0.6667 0.0000
Mn1 0.3333 0.6667 0.2702

Output
* E_form: 0.5388 eV/atom